## GdCoNO (PBE with a Hubbard U)

Data for crystalline GdCoNO at its relaxed geometry.

The structure in POSCAR format:
```
GdCoNO
1.0
3.415 0.000 0.000
0.000 5.451 0.000
0.000 0.000 5.678
Gd Co N O
2 2 2 2
Cartesian
0.000 1.095 0.000
0.000 4.357 2.839
1.708 1.404 3.002
1.708 4.047 0.163
1.708 0.293 1.439
1.708 5.158 4.278
0.000 2.232 3.616
0.000 3.220 0.777
```

Computed properties:
Relative energy among the computed polymorphs (meV per atom): 24
VASP energy (eV/f.u.): -28.3
Crystal system: orthorhombic
Size of the total moment (μB per atom): 0.750